A:
## Pm2Pd (PBE)

Data for crystalline Pm2Pd at its relaxed geometry.

Values from the calculation:
- Symmetry: No. 227

Cell and atoms, written as POSCAR:
```
Pm2Pd
1.0
0.000 4.322 4.322
4.322 0.000 4.322
4.322 4.322 0.000
Pm Pd
4 2
Cartesian
0.000 0.000 0.000
2.161 2.161 0.000
2.161 0.000 2.161
0.000 2.161 2.161
3.241 3.241 3.241
5.402 5.402 5.402
```

B:
## Pm2Pd (PBE)

Data for crystalline Pm2Pd at its relaxed geometry.

Values from the calculation:
- Symmetry: No. 227

Cell and atoms, written as POSCAR:
```
Pm2Pd
1.0
0.000 6.221 6.221
6.221 0.000 6.221
6.221 6.221 0.000
Pm Pd
4 2
Cartesian
0.000 0.000 0.000
3.111 3.111 0.000
3.111 0.000 3.111
0.000 3.111 3.111
1.555 1.555 1.555
10.887 10.887 10.887
```

The structure with the greatest stability is A.

A:
## PmSiPd (PBE)

Data for crystalline PmSiPd at its relaxed geometry.

Values from the calculation:
- Symmetry: No. 216

Cell and atoms, written as POSCAR:
```
PmSiPd
1.0
0.000 3.344 3.344
3.344 0.000 3.344
3.344 3.344 0.000
Pm Si Pd
1 1 1
Cartesian
0.000 0.000 0.000
1.672 1.672 1.672
5.015 5.015 5.015
```

B:
## PmSiPd (PBE)

Data for crystalline PmSiPd at its relaxed geometry.

Values from the calculation:
- Symmetry: No. 216

Cell and atoms, written as POSCAR:
```
PmSiPd
1.0
0.000 3.239 3.239
3.239 0.000 3.239
3.239 3.239 0.000
Pm Si Pd
1 1 1
Cartesian
0.000 0.000 0.000
3.239 3.239 3.239
1.620 1.620 1.620
```

The structure with the greatest stability is B.